Record 1
Fe2H2Ru | PBE | relaxed

space group: P4/mbm (127)
energy above the lowest structure with this stoichiometry: 256 meV/atom

Geometry as CIF:
```
data_Fe2H2Ru
_cell_length_a 5.583
_cell_length_b 5.583
_cell_length_c 2.661
_cell_angle_alpha 90.00
_cell_angle_beta 90.00
_cell_angle_gamma 90.00
_symmetry_space_group_name_H-M 'P 1'
_symmetry_Int_Tables_number 1
loop_
_symmetry_equiv_pos_as_xyz
'x,y,z'
loop_
_atom_site_label
_atom_site_type_symbol
_atom_site_fract_x
_atom_site_fract_y
_atom_site_fract_z
Ru1 Ru 0.000 0.000 0.000
Ru2 Ru 0.500 0.500 0.000
Fe1 Fe 0.134 0.634 0.500
Fe2 Fe 0.634 0.866 0.500
Fe3 Fe 0.866 0.366 0.500
Fe4 Fe 0.366 0.134 0.500
H1 H 0.286 0.786 0.000
H2 H 0.786 0.714 0.000
H3 H 0.714 0.214 0.000
H4 H 0.214 0.286 0.000
```


Record 2
Fe5H12Ru3 | PBE | relaxed

space group: Ia-3d (230)
energy: -425.1 eV per cell

Geometry as CIF:
```
data_Fe5H12Ru3
_cell_length_a 9.009
_cell_length_b 9.009
_cell_length_c 9.009
_cell_angle_alpha 109.47
_cell_angle_beta 109.47
_cell_angle_gamma 109.47
_symmetry_space_group_name_H-M 'P 1'
_symmetry_Int_Tables_number 1
loop_
_symmetry_equiv_pos_as_xyz
'x,y,z'
loop_
_atom_site_label
_atom_site_type_symbol
_atom_site_fract_x
_atom_site_fract_y
_atom_site_fract_z
Ru1 Ru 0.750 0.375 0.125
Ru2 Ru 0.875 0.750 0.125
Ru3 Ru 0.375 0.750 0.625
Ru4 Ru 0.250 0.125 0.375
Ru5 Ru 0.875 0.125 0.250
Ru6 Ru 0.375 0.625 0.250
Ru7 Ru 0.625 0.375 0.750
Ru8 Ru 0.125 0.875 0.750
Ru9 Ru 0.750 0.875 0.625
Ru10 Ru 0.625 0.250 0.375
Ru11 Ru 0.125 0.250 0.875
Ru12 Ru 0.250 0.625 0.875
Fe1 Fe 0.125 0.375 0.250
Fe2 Fe 0.000 0.500 0.000
Fe3 Fe 0.000 0.000 0.000
Fe4 Fe 0.375 0.250 0.125
Fe5 Fe 0.500 0.000 0.500
Fe6 Fe 0.500 0.500 0.000
Fe7 Fe 0.125 0.750 0.375
Fe8 Fe 0.750 0.125 0.875
Fe9 Fe 0.750 0.625 0.375
Fe10 Fe 0.375 0.125 0.750
Fe11 Fe 0.625 0.875 0.250
Fe12 Fe 0.500 0.500 0.500
Fe13 Fe 0.500 0.000 0.000
Fe14 Fe 0.000 0.000 0.500
Fe15 Fe 0.250 0.375 0.625
Fe16 Fe 0.250 0.875 0.125
Fe17 Fe 0.000 0.500 0.500
Fe18 Fe 0.875 0.250 0.625
Fe19 Fe 0.625 0.750 0.875
Fe20 Fe 0.875 0.625 0.750
H1 H 0.720 0.139 0.058
H2 H 0.339 0.558 0.419
H3 H 0.942 0.361 0.280
H4 H 0.558 0.220 0.139
H5 H 0.580 0.720 0.661
H6 H 0.942 0.581 0.161
H7 H 0.339 0.780 0.420
H8 H 0.081 0.920 0.139
H9 H 0.581 0.942 0.661
H10 H 0.720 0.580 0.161
H11 H 0.780 0.442 0.361
H12 H 0.839 0.919 0.058
H13 H 0.139 0.720 0.558
H14 H 0.361 0.419 0.080
H15 H 0.080 0.919 0.361
H16 H 0.420 0.139 0.581
H17 H 0.080 0.161 0.220
H18 H 0.442 0.661 0.081
H19 H 0.839 0.920 0.280
H20 H 0.139 0.420 0.081
H21 H 0.361 0.942 0.780
H22 H 0.581 0.639 0.420
H23 H 0.919 0.839 0.558
H24 H 0.780 0.339 0.920
H25 H 0.419 0.361 0.580
H26 H 0.081 0.161 0.442
H27 H 0.220 0.661 0.080
H28 H 0.161 0.080 0.720
H29 H 0.639 0.058 0.220
H30 H 0.861 0.580 0.919
H31 H 0.558 0.339 0.919
H32 H 0.580 0.861 0.419
H33 H 0.920 0.839 0.780
H34 H 0.920 0.081 0.639
H35 H 0.861 0.280 0.442
H36 H 0.161 0.081 0.942
H37 H 0.639 0.581 0.920
H38 H 0.419 0.058 0.339
H39 H 0.280 0.420 0.839
H40 H 0.220 0.558 0.639
H41 H 0.919 0.080 0.861
H42 H 0.661 0.220 0.580
H43 H 0.442 0.780 0.861
H44 H 0.058 0.419 0.839
H45 H 0.420 0.280 0.339
H46 H 0.058 0.639 0.720
H47 H 0.661 0.442 0.581
H48 H 0.280 0.861 0.942
```


Record 3
Fe3H12Ru5 | PBE | relaxed

space group: Ia-3d (230)
energy: -429.6 eV per cell

Geometry as CIF:
```
data_Fe3H12Ru5
_cell_length_a 9.147
_cell_length_b 9.147
_cell_length_c 9.147
_cell_angle_alpha 109.47
_cell_angle_beta 109.47
_cell_angle_gamma 109.47
_symmetry_space_group_name_H-M 'P 1'
_symmetry_Int_Tables_number 1
loop_
_symmetry_equiv_pos_as_xyz
'x,y,z'
loop_
_atom_site_label
_atom_site_type_symbol
_atom_site_fract_x
_atom_site_fract_y
_atom_site_fract_z
Fe1 Fe 0.750 0.375 0.125
Fe2 Fe 0.875 0.750 0.125
Fe3 Fe 0.375 0.750 0.625
Fe4 Fe 0.250 0.125 0.375
Fe5 Fe 0.875 0.125 0.250
Fe6 Fe 0.375 0.625 0.250
Fe7 Fe 0.625 0.375 0.750
Fe8 Fe 0.125 0.875 0.750
Fe9 Fe 0.750 0.875 0.625
Fe10 Fe 0.625 0.250 0.375
Fe11 Fe 0.125 0.250 0.875
Fe12 Fe 0.250 0.625 0.875
Ru1 Ru 0.125 0.375 0.250
Ru2 Ru 0.000 0.500 0.000
Ru3 Ru 0.000 0.000 0.000
Ru4 Ru 0.375 0.250 0.125
Ru5 Ru 0.500 0.000 0.500
Ru6 Ru 0.500 0.500 0.000
Ru7 Ru 0.125 0.750 0.375
Ru8 Ru 0.750 0.125 0.875
Ru9 Ru 0.750 0.625 0.375
Ru10 Ru 0.375 0.125 0.750
Ru11 Ru 0.625 0.875 0.250
Ru12 Ru 0.500 0.500 0.500
Ru13 Ru 0.500 0.000 0.000
Ru14 Ru 0.000 0.000 0.500
Ru15 Ru 0.250 0.375 0.625
Ru16 Ru 0.250 0.875 0.125
Ru17 Ru 0.000 0.500 0.500
Ru18 Ru 0.875 0.250 0.625
Ru19 Ru 0.625 0.750 0.875
Ru20 Ru 0.875 0.625 0.750
H1 H 0.725 0.136 0.058
H2 H 0.332 0.558 0.422
H3 H 0.942 0.364 0.275
H4 H 0.558 0.225 0.136
H5 H 0.590 0.725 0.668
H6 H 0.942 0.578 0.168
H7 H 0.332 0.775 0.410
H8 H 0.078 0.910 0.136
H9 H 0.578 0.942 0.668
H10 H 0.725 0.590 0.168
H11 H 0.775 0.442 0.364
H12 H 0.832 0.922 0.058
H13 H 0.136 0.725 0.558
H14 H 0.364 0.422 0.090
H15 H 0.090 0.922 0.364
H16 H 0.410 0.136 0.578
H17 H 0.090 0.168 0.225
H18 H 0.442 0.668 0.078
H19 H 0.832 0.910 0.275
H20 H 0.136 0.410 0.078
H21 H 0.364 0.942 0.775
H22 H 0.578 0.636 0.410
H23 H 0.922 0.832 0.558
H24 H 0.775 0.332 0.910
H25 H 0.422 0.364 0.590
H26 H 0.078 0.168 0.442
H27 H 0.225 0.668 0.090
H28 H 0.168 0.090 0.725
H29 H 0.636 0.058 0.225
H30 H 0.864 0.590 0.922
H31 H 0.558 0.332 0.922
H32 H 0.590 0.864 0.422
H33 H 0.910 0.832 0.775
H34 H 0.910 0.078 0.636
H35 H 0.864 0.275 0.442
H36 H 0.168 0.078 0.942
H37 H 0.636 0.578 0.910
H38 H 0.422 0.058 0.332
H39 H 0.275 0.410 0.832
H40 H 0.225 0.558 0.636
H41 H 0.922 0.090 0.864
H42 H 0.668 0.225 0.590
H43 H 0.442 0.775 0.864
H44 H 0.058 0.422 0.832
H45 H 0.410 0.275 0.332
H46 H 0.058 0.636 0.725
H47 H 0.668 0.442 0.578
H48 H 0.275 0.864 0.942
```


Density of states at the Fermi level readings, ordered: 4.11 10.17 10.75 states/eV/f.u.
Magnetic moment readings, ordered: 0.060 0.684 0.551 μB/atom